! CoSb2F8 | Alexandria | PBE with a Hubbard U | optimized geometry; values from VASP
! Raw total energy ... -52.8 eV per cell
! Space group ... C2/m, No. 12
&SYSTEM
  ibrav = 0, nat = 11, ntyp = 3
/
ATOMIC_SPECIES
F 19.00 F.upf
Sb 121.76 Sb.upf
Co 58.93 Co.upf
CELL_PARAMETERS angstrom
-3.673 2.942 -1.729
-3.351 -2.229 3.326
5.609 4.565 4.613
ATOMIC_POSITIONS crystal
F 0.233 0.925 0.850
F 0.304 0.853 0.187
F 0.696 0.666 0.813
F 0.767 0.075 0.150
F 0.318 0.247 0.493
F 0.304 0.334 0.187
F 0.682 0.753 0.507
F 0.696 0.147 0.813
Sb 0.591 0.175 0.350
Sb 0.409 0.825 0.650
Co 0.000 0.000 0.000